# 1
# LiPuTe2 | Alexandria via LeMat-Bulk | GGA-PBE | optimized geometry
# Spin magnetization (μB per atom): 1.274
# Raw total energy (eV/atom): -6.48
data_LiPuTe2
_chemical_formula_sum 'Li1 Pu1 Te2'
_symmetry_space_group_name_H-M 'P 4/m m m'
_symmetry_Int_Tables_number 123
_symmetry_space_group_name_Hall '-P 4 2'
_cell_length_a 3.7880
_cell_length_b 3.7880
_cell_length_c 7.5697
_cell_angle_alpha 90.00
_cell_angle_beta 90.00
_cell_angle_gamma 90.00
loop_
_atom_site_label
_atom_site_type_symbol
_atom_site_fract_x
_atom_site_fract_y
_atom_site_fract_z
Li1 Li 0.0000 0.0000 0.0000
Pu1 Pu 0.0000 0.0000 0.5000
Te1 Te 0.5000 0.5000 0.2575

---

# 2
# ThMgGa2Rh2 | Alexandria via LeMat-Bulk | GGA-PBE | optimized geometry
# Formation energy (eV per atom): -0.6999
# Spin magnetization (μB per atom): 0.000
data_ThMgGa2Rh2
_chemical_formula_sum 'Th1 Mg1 Ga2 Rh2'
_symmetry_space_group_name_H-M 'P -3 m 1'
_symmetry_Int_Tables_number 164
_symmetry_space_group_name_Hall '-P 3 2"'
_cell_length_a 4.3807
_cell_length_b 4.3807
_cell_length_c 6.7571
_cell_angle_alpha 90.00
_cell_angle_beta 90.00
_cell_angle_gamma 120.00
loop_
_atom_site_label
_atom_site_type_symbol
_atom_site_fract_x
_atom_site_fract_y
_atom_site_fract_z
Th1 Th 0.0000 0.0000 0.0000
Mg1 Mg 0.0000 0.0000 0.5000
Ga1 Ga 0.3333 0.6667 0.3084
Rh1 Rh 0.3333 0.6667 0.7196

---

# 3
# BeGeSbI2 | Alexandria via LeMat-Bulk | GGA-PBE | optimized geometry
# Energy above the lowest structure with this stoichiometry (eV per formula unit): 0.000
# Spin magnetization (μB per atom): 0.000
data_BeGeSbI2
_chemical_formula_sum 'Be1 Ge1 Sb1 I2'
_symmetry_space_group_name_H-M 'P 4/m m m'
_symmetry_Int_Tables_number 123
_symmetry_space_group_name_Hall '-P 4 2'
_cell_length_a 5.1622
_cell_length_b 5.1622
_cell_length_c 5.1002
_cell_angle_alpha 90.00
_cell_angle_beta 90.00
_cell_angle_gamma 90.00
loop_
_atom_site_label
_atom_site_type_symbol
_atom_site_fract_x
_atom_site_fract_y
_atom_site_fract_z
Be1 Be 0.0000 0.0000 0.0000
Ge1 Ge 0.5000 0.5000 0.5000
Sb1 Sb 0.0000 0.0000 0.5000
I1 I 0.0000 0.5000 0.0000

---

# 4
# Ba2Li2Cd | Alexandria via LeMat-Bulk | GGA-PBE | optimized geometry
# Formation energy (eV per atom): 0.0109
# Energy above the lowest structure with this stoichiometry (eV per formula unit): 0.653
# Spin magnetization (μB per atom): 0.000
data_Ba2Li2Cd
_chemical_formula_sum 'Ba4 Li4 Cd2'
_symmetry_space_group_name_H-M 'I 4/m m m'
_symmetry_Int_Tables_number 139
_symmetry_space_group_name_Hall '-I 4 2'
_cell_length_a 6.5794
_cell_length_b 6.5794
_cell_length_c 8.4796
_cell_angle_alpha 90.00
_cell_angle_beta 90.00
_cell_angle_gamma 90.00
loop_
_atom_site_label
_atom_site_type_symbol
_atom_site_fract_x
_atom_site_fract_y
_atom_site_fract_z
Ba1 Ba 0.0000 0.5000 0.2500
Li1 Li 0.0000 0.0000 0.1503
Cd1 Cd 0.0000 0.0000 0.5000

---

# 5
# Ta2Ga2I | Alexandria via LeMat-Bulk | GGA-PBE | optimized geometry
# Energy above the lowest structure with this stoichiometry (eV per formula unit): 0.000
# Spin magnetization (μB per atom): 0.000
data_Ta2Ga2I
_chemical_formula_sum 'Ta4 Ga4 I2'
_symmetry_space_group_name_H-M 'P 4/m b m'
_symmetry_Int_Tables_number 127
_symmetry_space_group_name_Hall '-P 4 2ab'
_cell_length_a 7.6049
_cell_length_b 7.6049
_cell_length_c 3.4390
_cell_angle_alpha 90.00
_cell_angle_beta 90.00
_cell_angle_gamma 90.00
loop_
_atom_site_label
_atom_site_type_symbol
_atom_site_fract_x
_atom_site_fract_y
_atom_site_fract_z
Ta1 Ta 0.1252 0.3748 0.0000
Ga1 Ga 0.1634 0.6634 0.5000
I1 I 0.0000 0.0000 0.0000

---

# 6
# FeP2Pb | Alexandria via LeMat-Bulk | GGA-PBE | optimized geometry
# Formation energy (eV per atom): 0.7557
# Spin magnetization (μB per atom): 0.727
data_FeP2Pb
_chemical_formula_sum 'Fe1 P2 Pb1'
_symmetry_space_group_name_H-M 'P 4/m m m'
_symmetry_Int_Tables_number 123
_symmetry_space_group_name_Hall '-P 4 2'
_cell_length_a 4.6813
_cell_length_b 4.6813
_cell_length_c 3.3783
_cell_angle_alpha 90.00
_cell_angle_beta 90.00
_cell_angle_gamma 90.00
loop_
_atom_site_label
_atom_site_type_symbol
_atom_site_fract_x
_atom_site_fract_y
_atom_site_fract_z
Fe1 Fe 0.0000 0.0000 0.0000
P1 P 0.0000 0.5000 0.5000
Pb1 Pb 0.5000 0.5000 0.0000

---

# 7
# Rb3NaPu3Se8 | Alexandria via LeMat-Bulk | GGA-PBE | optimized geometry
# Spin magnetization (μB per atom): 0.800
# Raw total energy (eV/atom): -6.28
data_Rb3NaPu3Se8
_chemical_formula_sum 'Rb9 Na3 Pu9 Se24'
_symmetry_space_group_name_H-M 'R -3 m'
_symmetry_Int_Tables_number 166
_symmetry_space_group_name_Hall '-R 3 2"'
_cell_length_a 8.4834
_cell_length_b 8.4834
_cell_length_c 23.9004
_cell_angle_alpha 90.00
_cell_angle_beta 90.00
_cell_angle_gamma 120.00
loop_
_atom_site_label
_atom_site_type_symbol
_atom_site_fract_x
_atom_site_fract_y
_atom_site_fract_z
Rb1 Rb 0.0000 0.5000 0.0000
Na1 Na 0.0000 0.0000 0.5000
Pu1 Pu 0.0000 0.5000 0.5000
Se1 Se 0.0000 0.0000 0.2316
Se2 Se 0.0237 0.5119 0.7698

---

# 8
# BaTiOs | Alexandria via LeMat-Bulk | GGA-PBE | optimized geometry
# Formation energy (eV per atom): 0.1313
# Energy above the lowest structure with this stoichiometry (eV per formula unit): 0.308
# Spin magnetization (μB per atom): 0.049
data_BaTiOs
_chemical_formula_sum 'Ba4 Ti4 Os4'
_symmetry_space_group_name_H-M 'C 1 2/m 1'
_symmetry_Int_Tables_number 12
_cell_length_a 23.9328
_cell_length_b 3.1307
_cell_length_c 4.1699
_cell_angle_alpha 90.00
_cell_angle_beta 97.51
_cell_angle_gamma 90.00
loop_
_symmetry_equiv_pos_as_xyz
'x,y,z'
'-x,-y,-z'
'-x,y,-z'
'x,-y,z'
'x+1/2,y+1/2,z'
'-x+1/2,-y+1/2,-z'
'-x+1/2,y+1/2,-z'
'x+1/2,-y+1/2,z'
loop_
_atom_site_label
_atom_site_type_symbol
_atom_site_fract_x
_atom_site_fract_y
_atom_site_fract_z
Ba1 Ba 0.0760 0.0000 0.3910
Ti1 Ti 0.1962 0.0000 0.9619
Os1 Os 0.2057 0.5000 0.4677

---

# 9
# CuTe3 | Alexandria via LeMat-Bulk | GGA-PBE | optimized geometry
# Spin magnetization (μB per atom): 0.000
# Raw total energy (eV/atom): -2.75
data_CuTe3
_chemical_formula_sum 'Cu2 Te6'
_symmetry_space_group_name_H-M 'P m -3 n'
_symmetry_Int_Tables_number 223
_symmetry_space_group_name_Hall '-P 4n 2 3'
_cell_length_a 5.9283
_cell_length_b 5.9283
_cell_length_c 5.9283
_cell_angle_alpha 90.00
_cell_angle_beta 90.00
_cell_angle_gamma 90.00
loop_
_atom_site_label
_atom_site_type_symbol
_atom_site_fract_x
_atom_site_fract_y
_atom_site_fract_z
Cu1 Cu 0.0000 0.0000 0.0000
Te1 Te 0.0000 0.2500 0.5000

---

# 10
# YAg3Br | Alexandria via LeMat-Bulk | GGA-PBE | optimized geometry
# Energy above the lowest structure with this stoichiometry (eV per formula unit): 1.028
# Spin magnetization (μB per atom): 0.000
data_YAg3Br
_chemical_formula_sum 'Y1 Ag3 Br1'
_symmetry_space_group_name_H-M 'P m -3 m'
_symmetry_Int_Tables_number 221
_symmetry_space_group_name_Hall '-P 4 2 3'
_cell_length_a 5.6469
_cell_length_b 5.6469
_cell_length_c 5.6469
_cell_angle_alpha 90.00
_cell_angle_beta 90.00
_cell_angle_gamma 90.00
loop_
_atom_site_label
_atom_site_type_symbol
_atom_site_fract_x
_atom_site_fract_y
_atom_site_fract_z
Y1 Y 0.0000 0.0000 0.0000
Ag1 Ag 0.0000 0.0000 0.5000
Br1 Br 0.5000 0.5000 0.5000

---

# 11
# KAl4Te7 | Alexandria via LeMat-Bulk | GGA-PBE | optimized geometry
# Spin magnetization (μB per atom): 0.000
# Raw total energy (eV/atom): -3.66
data_KAl4Te7
_chemical_formula_sum 'K2 Al8 Te14'
_symmetry_space_group_name_H-M 'P m n 21'
_symmetry_Int_Tables_number 31
_cell_length_a 16.9540
_cell_length_b 7.1419
_cell_length_c 6.9062
_cell_angle_alpha 90.00
_cell_angle_beta 90.00
_cell_angle_gamma 90.00
loop_
_symmetry_equiv_pos_as_xyz
'x,y,z'
'-x+1/2,-y,z+1/2'
'-x,y,z'
'x+1/2,-y,z+1/2'
loop_
_atom_site_label
_atom_site_type_symbol
_atom_site_fract_x
_atom_site_fract_y
_atom_site_fract_z
K1 K 0.0000 0.1548 0.0000
Al1 Al 0.1211 0.6676 0.6491
Al2 Al 0.2486 0.1804 0.6290
Te1 Te 0.0000 0.8556 0.5051
Te2 Te 0.1137 0.3216 0.5168
Te3 Te 0.1152 0.6784 0.0290
Te4 Te 0.2433 0.1801 0.0215

---

# 12
# MgScP2 | Alexandria via LeMat-Bulk | GGA-PBE | optimized geometry
# Formation energy (eV per atom): -0.8235
# Spin magnetization (μB per atom): 0.000
data_MgScP2
_chemical_formula_sum 'Mg3 Sc3 P6'
_symmetry_space_group_name_H-M 'R 3 m'
_symmetry_Int_Tables_number 160
_symmetry_space_group_name_Hall 'R 3 -2"'
_cell_length_a 3.8795
_cell_length_b 3.8795
_cell_length_c 17.5011
_cell_angle_alpha 90.00
_cell_angle_beta 90.00
_cell_angle_gamma 120.00
loop_
_atom_site_label
_atom_site_type_symbol
_atom_site_fract_x
_atom_site_fract_y
_atom_site_fract_z
Mg1 Mg 0.0000 0.0000 0.0000
Sc1 Sc 0.0000 0.0000 0.1740
P1 P 0.0000 0.0000 0.5889
P2 P 0.0000 0.0000 0.7559

---

| no. | DOS(E_F) (states/eV/f.u.) |
| --- | --- |
| 1 | 9.165 |
| 2 | 4.797 |
| 3 | 2.790 |
| 4 | 4.037 |
| 5 | 4.111 |
| 6 | 4.258 |
| 7 | 26.445 |
| 8 | 2.485 |
| 9 | 3.719 |
| 10 | 8.882 |
| 11 | 11.215 |
| 12 | 1.619 |